MgGeTe3: optimized geometry, PBE-GGA.

a b c (Å): 5.4198 5.4198 5.4198
angles (deg): 90.00 90.00 90.00
Closest atoms and distances in Å follow each position.
Space group Pm-3m (No. 221)
Asymmetric unit:
Mg1 0.0000 0.0000 0.0000 (multiplicity 1)  12 Te 3.83
Ge1 0.5000 0.5000 0.5000 (multiplicity 1)  6 Te 2.71
Te1 0.0000 0.5000 0.5000 (multiplicity 3)  2 Ge 2.71

Summary:
- Relative energy among the computed polymorphs: 2.82 eV per formula unit

---

MgGe3Te: optimized geometry, PBE-GGA.

a b c (Å): 5.0786 5.0786 5.0786
angles (deg): 90.00 90.00 90.00
Closest atoms and distances in Å follow each position.
Space group Pm-3m (No. 221)
Asymmetric unit:
Mg1 0.0000 0.0000 0.0000 (multiplicity 1)  6 Ge 2.54
Ge1 0.0000 0.0000 0.5000 (multiplicity 3)  2 Mg 2.54
Te1 0.5000 0.5000 0.5000 (multiplicity 1)  12 Ge 3.59

Summary:
- Relative energy among the computed polymorphs: 0.00 eV per formula unit

---

| no. | uncorrected energy (eV/atom) | uncorrected formation energy (meV per atom) | V (Å³/f.u.) |
| --- | --- | --- | --- |
| 1 | -2.8529 | 275 | 159.2 |
| 2 | -3.1123 | 605 | 131.0 |